Computed, not measured: a relaxed DyHfFe crystal at the PBE level of DFT.

Calculated values
energy of formation from the pure elements	178	meV per atom
symmetry	F-43m

a b c (Å): 4.4909 4.4909 4.4909
angles (deg): 60.00 60.00 60.00
Closest atoms and distances in Å follow each position.
Sites, in units of the cell vectors:
Hf (0.7500, 0.7500, 0.7500)  4 Fe 2.75
Fe (0.0000, 0.0000, 0.0000)  4 Hf 2.75, 4 Dy 2.75
Dy (0.2500, 0.2500, 0.2500)  4 Fe 2.75


Computed, not measured: a relaxed Bi2Pd2Pb crystal at the PBE level of DFT.

Calculated values
symmetry	I4/mmm
total energy	-4.498	eV/atom

a b c (Å): 6.9188 6.9188 6.9188
angles (deg): 141.30 141.30 55.88
Closest atoms and distances in Å follow each position.
Sites, in units of the cell vectors:
Pd (0.7500, 0.2500, 0.5000)  4 Bi 2.75
Pb (0.0000, 0.0000, 0.0000)  8 Bi 3.59, 8 Pd 3.82
Bi (0.3737, 0.3737, 0.0000)  4 Pd 2.75
Bi (0.6263, 0.6263, 0.0000)  4 Pd 2.75
Pd (0.2500, 0.7500, 0.5000)  4 Bi 2.75


Computed, not measured: a relaxed TbTmGeI2 crystal at the PBE level of DFT.

Calculated values
symmetry	P3m1
total energy	-4.561	eV/atom

a b c (Å): 4.2193 4.2193 10.7452
angles (deg): 90.00 90.00 120.00
Closest atoms and distances in Å follow each position.
Sites, in units of the cell vectors:
I (0.6667, 0.3333, 0.8325)  3 Tb 3.17
Ge (0.0000, 0.0000, 0.4968)  3 Tm 2.87, 3 Tb 2.90
Tb (0.3333, 0.6667, 0.6437)  3 Ge 2.90, 3 I 3.17
I (0.3333, 0.6667, 0.1717)  3 Tm 3.14
Tm (0.6667, 0.3333, 0.3554)  3 Ge 2.87, 3 I 3.14


Computed, not measured: a relaxed Cs3Rb3Zn2O5 crystal at the PBE level of DFT.

Calculated values
symmetry	Cm
total energy	-3.710	eV/atom

a b c (Å): 7.0325 7.0325 7.0254
angles (deg): 91.72 91.72 117.96
Closest atoms and distances in Å follow each position.
Sites, in units of the cell vectors:
O (0.9032, 0.1791, 0.0552)  1 Zn 1.90
O (0.8020, 0.5299, 0.5787)  1 Zn 1.90
Rb (0.1217, 0.5868, 0.3138)  5 O 2.80-3.07
Cs (0.1430, 0.5572, 0.8154)  4 O 2.80-3.03
Zn (0.1475, 0.1475, 0.1315)  3 O 1.90-1.93
O (0.5299, 0.8020, 0.5787)  1 Zn 1.90
Cs (0.7003, 0.7003, 0.0147)  3 O 2.98-2.99, 1 Zn 3.30
Zn (0.5640, 0.5640, 0.4855)  3 O 1.90-1.93
Rb (0.5868, 0.1217, 0.3138)  5 O 2.80-3.07
O (0.3854, 0.3854, 0.2703)  2 Zn 1.93
O (0.1791, 0.9032, 0.0552)  1 Zn 1.90
Rb (0.9836, 0.9836, 0.6266)  2 O 2.83, 1 Zn 3.14
Cs (0.5572, 0.1430, 0.8154)  4 O 2.80-3.03


Computed, not measured: a relaxed Hg2Pd2O5 crystal at the PBE level of DFT.

Calculated values
symmetry	P4/mmm
total energy	-4.022	eV/atom

a b c (Å): 8.0443 3.9001 3.9001
angles (deg): 90.00 90.00 90.00
Closest atoms and distances in Å follow each position.
Sites, in units of the cell vectors:
O (0.1890, 0.5000, 0.0000)  2 Pd 2.00
Hg (0.0000, 0.0000, 0.0000)  8 O 2.47
Hg (0.5000, 0.0000, 0.0000)  4 O 2.76
Pd (0.7585, 0.5000, 0.5000)  5 O 2.00-2.08
O (0.5000, 0.5000, 0.5000)  2 Pd 2.08
O (0.1890, 0.0000, 0.5000)  2 Pd 2.00
O (0.8110, 0.0000, 0.5000)  2 Pd 2.00
O (0.8110, 0.5000, 0.0000)  2 Pd 2.00
Pd (0.2415, 0.5000, 0.5000)  5 O 2.00-2.08


Computed, not measured: a relaxed Zn17Cd2 crystal at the PBE level of DFT.

Calculated values
energy of formation from the pure elements	65	meV per atom
symmetry	R-3m

a b c (Å): 6.7864 6.7864 6.7864
angles (deg): 83.93 83.93 83.93
Closest atoms and distances in Å follow each position.
Sites, in units of the cell vectors:
Zn (0.8422, 0.3537, 0.3537)  9 Zn 2.60-2.87
Cd (0.3423, 0.3423, 0.3423)  16 Zn 3.08-3.41
Zn (0.8960, 0.8960, 0.8960)  7 Zn 2.69-2.87
Zn (0.1578, 0.6463, 0.6463)  9 Zn 2.60-2.87
Zn (0.6997, 0.0000, 0.3003)  8 Zn 2.56-2.75
Zn (0.0000, 0.5000, 0.0000)  10 Zn 2.56-2.74
Zn (0.0000, 0.3003, 0.6997)  8 Zn 2.56-2.75
Zn (0.5000, 0.0000, 0.0000)  10 Zn 2.56-2.74
Cd (0.6577, 0.6577, 0.6577)  16 Zn 3.08-3.41
Zn (0.3537, 0.3537, 0.8422)  9 Zn 2.60-2.87
Zn (0.1040, 0.1040, 0.1040)  7 Zn 2.69-2.87
Zn (0.0000, 0.6997, 0.3003)  8 Zn 2.56-2.75
Zn (0.6997, 0.3003, 0.0000)  8 Zn 2.56-2.75
Zn (0.6463, 0.1578, 0.6463)  9 Zn 2.60-2.87
Zn (0.6463, 0.6463, 0.1578)  9 Zn 2.60-2.87
Zn (0.3003, 0.6997, 0.0000)  8 Zn 2.56-2.75
Zn (0.3537, 0.8422, 0.3537)  9 Zn 2.60-2.87
Zn (0.3003, 0.0000, 0.6997)  8 Zn 2.56-2.75
Zn (0.0000, 0.0000, 0.5000)  10 Zn 2.56-2.74


Computed, not measured: a relaxed Nd2SmB2Pd2N3 crystal at the PBE level of DFT.

Calculated values
symmetry	I4/mmm
total energy	-7.386	eV/atom

a b c (Å): 10.6614 10.6614 10.6614
angles (deg): 159.82 159.82 28.69
Closest atoms and distances in Å follow each position.
Sites, in units of the cell vectors:
Pd (0.7500, 0.2500, 0.5000)  4 B 2.29
N (0.5000, 0.5000, 0.0000)  2 Nd 2.48, 4 Sm 2.64
N (0.8828, 0.8828, 0.0000)  1 B 1.42
Sm (0.0000, 0.0000, 0.0000)  6 N 2.42-2.64
B (0.1862, 0.1862, 0.0000)  1 N 1.42
Nd (0.6202, 0.6202, 0.0000)  5 N 2.48-2.64
Pd (0.2500, 0.7500, 0.5000)  4 B 2.29
B (0.8138, 0.8138, 0.0000)  1 N 1.42
N (0.1172, 0.1172, 0.0000)  1 B 1.42
Nd (0.3798, 0.3798, 0.0000)  5 N 2.48-2.64


Computed, not measured: a relaxed Y4CuBiN2 crystal at the PBE level of DFT.

Calculated values
symmetry	P-6m2
total energy	-7.249	eV/atom

a b c (Å): 3.5707 3.5707 14.6034
angles (deg): 90.00 90.00 120.00
Closest atoms and distances in Å follow each position.
Sites, in units of the cell vectors:
Y (0.0000, 0.0000, 0.6401)  3 N 2.55
N (0.3333, 0.6667, 0.7425)  6 Y 2.38-2.55
Cu (0.6667, 0.3333, 0.5000)  6 Y 2.90
Y (0.0000, 0.0000, 0.3599)  3 N 2.55
N (0.3333, 0.6667, 0.2575)  6 Y 2.38-2.55
Bi (0.0000, 0.0000, 0.0000)  6 Y 3.30, 6 Bi 3.57
Y (0.6667, 0.3333, 0.8235)  3 N 2.38
Y (0.6667, 0.3333, 0.1765)  3 N 2.38


Computed, not measured: a relaxed SrNd2In3Ge2Pd crystal at the PBE level of DFT.

Calculated values
symmetry	Amm2
total energy	-4.435	eV/atom

a b c (Å): 4.4855 7.5986 7.5986
angles (deg): 120.37 90.00 90.00
Closest atoms and distances in Å follow each position.
Sites, in units of the cell vectors:
In (0.5000, 0.9945, 0.2389)  2 Ge 2.84-2.99, 2 Pd 2.91, 1 In 3.12
In (0.5000, 0.7632, 0.7632)  2 Pd 2.84, 2 Ge 3.01, 2 In 3.12
Ge (0.5000, 0.6750, 0.3297)  3 In 2.84-3.01, 2 Nd 3.17
Ge (0.5000, 0.3297, 0.6750)  3 In 2.84-3.01, 2 Nd 3.17
Sr (0.0000, 0.4125, 0.4125)  1 Pd 3.16, 4 Ge 3.27, 2 In 3.47
Pd (0.0000, 0.9943, 0.9943)  6 In 2.84-2.91, 2 Nd 3.09, 1 Sr 3.16
Nd (0.0000, 0.0011, 0.5907)  1 Pd 3.09, 4 Ge 3.17-3.18
In (0.5000, 0.2389, 0.9945)  2 Ge 2.84-2.99, 2 Pd 2.91, 1 In 3.12
Nd (0.0000, 0.5907, 0.0011)  1 Pd 3.09, 4 Ge 3.17-3.18


Computed, not measured: a relaxed Lu2CoRe crystal at the PBE level of DFT.

Calculated values
energy of formation from the pure elements	401	meV per atom
symmetry	F-43m

a b c (Å): 4.6683 4.6683 4.6683
angles (deg): 60.00 60.00 60.00
Closest atoms and distances in Å follow each position.
Sites, in units of the cell vectors:
Co (0.2500, 0.2500, 0.2500)  4 Lu 2.86, 4 Re 2.86
Lu (0.7500, 0.7500, 0.7500)  4 Re 2.86, 4 Lu 2.86
Re (0.5000, 0.5000, 0.5000)  4 Lu 2.86, 4 Co 2.86
Lu (0.0000, 0.0000, 0.0000)  4 Co 2.86, 4 Lu 2.86


Q: Which formula does entry 9 have?
A: SrNd2In3Ge2Pd